(1)
Material: Cs3Tl3Pd2
Method: DFT, PBE
State: optimized geometry

Results
The space group is Cmcm, No. 63. As for the energy above the lowest structure with this stoichiometry: 0.0 meV per atom. The density of states at the Fermi level comes out at 4.34 states/eV/f.u.

Cell lengths 5.030, 7.465, 17.374 Å; angles 90.00, 90.00, 109.69 degrees
Element x y z (fractional)
Cs1 0.938 0.876 0.394
Cs2 0.062 0.124 0.894
Cs3 0.938 0.876 0.106
Cs4 0.062 0.124 0.606
Cs5 0.609 0.219 0.250
Cs6 0.391 0.781 0.750
Tl1 0.676 0.352 0.461
Tl2 0.324 0.648 0.961
Tl3 0.676 0.352 0.039
Tl4 0.324 0.648 0.539
Tl5 0.309 0.619 0.250
Tl6 0.691 0.381 0.750
Pd1 0.777 0.554 0.895
Pd2 0.223 0.446 0.395
Pd3 0.777 0.554 0.605
Pd4 0.223 0.446 0.105



(2)
Material: Cs4Tl4Pd
Method: DFT, PBE
State: optimized geometry

Results
The space group is I-42m, No. 121. The density of states at the Fermi level comes out at 6.10 states/eV/f.u.

Cell lengths 6.632, 11.554, 6.632 Å; angles 73.32, 90.00, 106.68 degrees
Element x y z (fractional)
Cs1 0.089 0.706 0.383
Cs2 0.617 0.706 0.911
Cs3 0.383 0.294 0.617
Cs4 0.911 0.294 0.089
Tl1 0.321 0.089 0.232
Tl2 0.768 0.089 0.679
Tl3 0.232 0.911 0.768
Tl4 0.679 0.911 0.321
Pd1 0.000 0.000 0.000



(3)
Material: CsTl3Pd2
Method: DFT, PBE
State: optimized geometry

Results
The space group is Cmcm, No. 63. The density of states at the Fermi level comes out at 3.51 states/eV/f.u.

Cell lengths 6.059, 7.686, 7.686 Å; angles 108.39, 90.00, 90.00 degrees
Element x y z (fractional)
Cs1 0.250 0.357 0.357
Cs2 0.750 0.643 0.643
Tl1 0.750 0.480 0.082
Tl2 0.750 0.082 0.480
Tl3 0.250 0.520 0.918
Tl4 0.750 0.060 0.060
Tl5 0.250 0.940 0.940
Tl6 0.250 0.918 0.520
Pd1 0.500 0.804 0.196
Pd2 0.000 0.804 0.196
Pd3 0.000 0.196 0.804
Pd4 0.500 0.196 0.804



(4)
Material: CsTl2Pd2
Method: DFT, PBE
State: optimized geometry

Results
The space group is C2/m, No. 12. As for the energy above the lowest structure with this stoichiometry: 15.5 meV per atom. The density of states at the Fermi level comes out at 2.14 states/eV/f.u.

Cell lengths 4.596, 5.303, 6.779 Å; angles 104.45, 109.82, 90.00 degrees
Element x y z (fractional)
Cs1 0.000 0.000 0.000
Tl1 0.343 0.415 0.687
Tl2 0.657 0.585 0.313
Pd1 0.742 0.144 0.485
Pd2 0.258 0.856 0.515



no.,M_tot (μB/f.u.),final energy (hartree per atom)
1,0.0,-0.096
2,0.0,-0.076
3,0.0,-0.117
4,0.0,-0.123